(1)
Material: ZnCoRu2Se
Method: DFT, PBE
State: relaxed

Unit cell a=4.531 b=4.531 c=4.250 alpha=90.00 beta=90.00 gamma=90.00
Space group P4/mmm (No. 123)
Unique sites:
Zn (0.000, 0.000, 0.000) (multiplicity 1)
Co (0.500, 0.500, 0.000) (multiplicity 1)
Ru (0.000, 0.500, 0.500) (multiplicity 2)
Se (0.500, 0.500, 0.500) (multiplicity 1)

Computed properties:
ΔE_f (raw), eV/atom: 0.8161
M_tot, μB/atom: 0.271

(2)
Material: TaTeAs2
Method: DFT, PBE
State: relaxed

Unit cell a=6.809 b=6.809 c=6.809 alpha=90.00 beta=90.00 gamma=90.00
Space group F-43m (No. 216)
Unique sites:
Ta (0.000, 0.000, 0.000) (multiplicity 4)
Te (0.250, 0.250, 0.750) (multiplicity 4)
As (0.000, 0.000, 0.500) (multiplicity 4)
As (0.250, 0.250, 0.250) (multiplicity 4)

Computed properties:
ΔE_f (raw), eV/atom: 0.4111
M_tot, μB/atom: 0.000

(3)
Material: MgV2CrCl
Method: DFT, PBE
State: relaxed

Unit cell a=4.694 b=4.694 c=4.513 alpha=90.00 beta=90.00 gamma=90.00
Space group P4/mmm (No. 123)
Unique sites:
Mg (0.000, 0.000, 0.000) (multiplicity 1)
V (0.000, 0.500, 0.000) (multiplicity 2)
Cr (0.000, 0.000, 0.500) (multiplicity 1)
Cl (0.500, 0.500, 0.500) (multiplicity 1)

Computed properties:
ΔE_f (raw), eV/atom: 2.1772
M_tot, μB/atom: 0.000

(4)
Material: LiZr
Method: DFT, PBE
State: relaxed

Unit cell a=5.327 b=14.784 c=3.004 alpha=90.00 beta=90.00 gamma=90.00
Space group Pmmn (No. 59, origin choice 2)
Unique sites:
Li (0.250, 0.108, 0.034) (multiplicity 4)
Li (0.250, 0.250, 0.536) (multiplicity 2)
Zr (0.250, 0.574, 0.406) (multiplicity 4)
Zr (0.250, 0.750, 0.947) (multiplicity 2)

Computed properties:
Formation enthalpy at 0 K, meV per atom: 252
Offset from the most stable computed form, eV/atom: 0.1686
M_tot, μB/atom: 0.000

(5)
Material: Tb3RuSe
Method: DFT, PBE
State: relaxed

Unit cell a=14.983 b=4.017 c=10.041 alpha=90.00 beta=117.51 gamma=90.00
Space group C2/m (No. 12)
Unique sites:
Tb (0.076, 0.000, 0.305) (multiplicity 4)
Tb (0.142, 0.500, 0.057) (multiplicity 4)
Tb (0.160, 0.500, 0.639) (multiplicity 4)
Ru (0.214, 0.500, 0.382) (multiplicity 4)
Se (0.144, 0.000, 0.851) (multiplicity 4)

Computed properties:
ΔE_f (raw), eV/atom: -0.8043
M_tot, μB/atom: 0.000

(6)
Material: AlW3S
Method: DFT, PBE
State: relaxed

Unit cell a=4.413 b=4.413 c=4.413 alpha=90.00 beta=90.00 gamma=90.00
Space group Pm-3m (No. 221)
Unique sites:
Al (0.000, 0.000, 0.000) (multiplicity 1)
W (0.000, 0.500, 0.500) (multiplicity 3)
S (0.500, 0.500, 0.500) (multiplicity 1)

Computed properties:
ΔE_f (raw), eV/atom: 0.7899
Offset from the most stable computed form, eV/atom: 0.0000
M_tot, μB/atom: 0.000